First-principles (PBE) data for a relaxed structure of ZrTl2Ni, as listed in the Alexandria database.

Results
The value obtained for the energy of formation is 0.013 eV per atom.

a = 3.287 Å, b = 3.246 Å, c = 8.514 Å
α = 90.00°, β = 100.90°, γ = 90.00°
Fractional positions:
Zr1 0.000 0.000 0.000
Tl1 0.186 0.000 0.384
Tl2 0.362 0.500 0.718
Ni1 0.578 0.500 0.161

---

First-principles (PBE) data for a relaxed structure of ZrScHg2, as listed in the Alexandria database.

Results
The value obtained for the energy of formation is 0.077 eV per atom.

a = 5.001 Å, b = 5.001 Å, c = 5.001 Å
α = 60.00°, β = 60.00°, γ = 60.00°
Fractional positions:
Zr1 0.000 0.000 0.000
Sc1 0.750 0.750 0.750
Hg1 0.250 0.250 0.250
Hg2 0.500 0.500 0.500

---

First-principles (PBE) data for a relaxed structure of GaIr2Br, as listed in the Alexandria database.

Results
The energy relative to the elements, uncorrected comes out at 0.7324 eV/atom.

a = 4.490 Å, b = 4.490 Å, c = 4.490 Å
α = 60.00°, β = 60.00°, γ = 60.00°
Fractional positions:
Ga1 0.000 0.000 0.000
Ir1 0.250 0.250 0.250
Ir2 0.750 0.750 0.750
Br1 0.500 0.500 0.500

---

First-principles (PBE) data for a relaxed structure of K4Ac3CeO8, as listed in the Alexandria database.

Results
The energy relative to the elements, uncorrected comes out at -2.5599 eV/atom.

a = 7.730 Å, b = 7.730 Å, c = 7.730 Å
α = 59.21°, β = 59.21°, γ = 59.21°
Fractional positions:
K1 0.000 0.000 0.000
K2 0.000 0.500 0.500
K3 0.500 0.000 0.500
K4 0.500 0.500 0.000
Ac1 0.000 0.000 0.500
Ac2 0.000 0.500 0.000
Ac3 0.500 0.000 0.000
Ce1 0.500 0.500 0.500
O1 0.232 0.232 0.232
O2 0.242 0.725 0.725
O3 0.275 0.275 0.758
O4 0.275 0.758 0.275
O5 0.725 0.242 0.725
O6 0.725 0.725 0.242
O7 0.758 0.275 0.275
O8 0.768 0.768 0.768

---

First-principles (PBE) data for a relaxed structure of Li2NpPaS4, as listed in the Alexandria database.

Results
The energy relative to the elements, uncorrected comes out at -1.4278 eV/atom.

a = 6.643 Å, b = 3.888 Å, c = 6.727 Å
α = 90.00°, β = 109.62°, γ = 90.00°
Fractional positions:
Li1 0.000 0.000 0.000
Li2 0.000 0.500 0.500
Np1 0.500 0.000 0.500
Pa1 0.500 0.500 0.000
S1 0.240 0.000 0.750
S2 0.244 0.500 0.245
S3 0.756 0.500 0.755
S4 0.760 0.000 0.250

---

First-principles (PBE) data for a relaxed structure of Tm7In2Bi2, as listed in the Alexandria database.

Results
The value obtained for the energy of formation is -0.129 eV per atom.

a = 6.768 Å, b = 6.768 Å, c = 7.795 Å
α = 90.00°, β = 90.00°, γ = 107.13°
Fractional positions:
Tm1 0.000 0.000 0.000
Tm2 0.000 0.500 0.291
Tm3 0.000 0.500 0.709
Tm4 0.500 0.000 0.291
Tm5 0.500 0.000 0.709
Tm6 0.500 0.500 0.279
Tm7 0.500 0.500 0.721
In1 0.176 0.176 0.500
In2 0.824 0.824 0.500
Bi1 0.295 0.705 0.000
Bi2 0.705 0.295 0.000

---

First-principles (PBE) data for a relaxed structure of TlSnHg2Pb4, as listed in the Alexandria database.

Results
The value obtained for the energy of formation is 0.023 eV per atom.

a = 4.911 Å, b = 5.026 Å, c = 9.498 Å
α = 90.00°, β = 92.00°, γ = 90.00°
Fractional positions:
Tl1 0.000 0.000 0.000
Sn1 0.500 0.500 0.500
Hg1 0.000 0.000 0.500
Hg2 0.500 0.500 0.000
Pb1 0.002 0.500 0.747
Pb2 0.493 0.000 0.741
Pb3 0.507 0.000 0.259
Pb4 0.998 0.500 0.253

---

First-principles (PBE) data for a relaxed structure of BeV3Ir, as listed in the Alexandria database.

Results
The value obtained for the energy of formation is 0.458 eV per atom.

a = 4.054 Å, b = 4.054 Å, c = 4.054 Å
α = 90.00°, β = 90.00°, γ = 90.00°
Fractional positions:
Be1 0.000 0.000 0.000
V1 0.000 0.000 0.500
V2 0.000 0.500 0.000
V3 0.500 0.000 0.000
Ir1 0.500 0.500 0.500

---

First-principles (PBE) data for a relaxed structure of Li6Zn5Si, as listed in the Alexandria database.

Results
The energy relative to the elements, uncorrected comes out at -0.1559 eV/atom.

a = 7.394 Å, b = 7.394 Å, c = 3.710 Å
α = 104.40°, β = 104.40°, γ = 104.45°
Fractional positions:
Li1 0.080 0.410 0.745
Li2 0.239 0.239 0.236
Li3 0.410 0.080 0.745
Li4 0.590 0.920 0.255
Li5 0.761 0.761 0.764
Li6 0.920 0.590 0.255
Zn1 0.165 0.835 0.000
Zn2 0.335 0.665 0.500
Zn3 0.500 0.500 0.000
Zn4 0.665 0.335 0.500
Zn5 0.835 0.165 0.000
Si1 0.000 0.000 0.500

---

First-principles (PBE) data for a relaxed structure of CsCaAu3, as listed in the Alexandria database.

Results
The value obtained for the energy of formation is -0.255 eV per atom.

a = 5.742 Å, b = 5.742 Å, c = 5.742 Å
α = 90.00°, β = 90.00°, γ = 90.00°
Fractional positions:
Cs1 0.000 0.000 0.000
Ca1 0.500 0.500 0.500
Au1 0.000 0.500 0.500
Au2 0.500 0.000 0.500
Au3 0.500 0.500 0.000

---

First-principles (PBE) data for a relaxed structure of Pr5ErTm5, as listed in the Alexandria database.

Results
The value obtained for the energy of formation is 0.266 eV per atom.

a = 9.940 Å, b = 9.940 Å, c = 7.068 Å
α = 110.75°, β = 110.75°, γ = 34.97°
Fractional positions:
Pr1 0.000 0.000 0.000
Pr2 0.324 0.324 0.068
Pr3 0.324 0.324 0.580
Pr4 0.676 0.676 0.420
Pr5 0.676 0.676 0.932
Er1 0.500 0.500 0.000
Tm1 0.120 0.120 0.621
Tm2 0.168 0.168 0.169
Tm3 0.500 0.500 0.500
Tm4 0.832 0.832 0.831
Tm5 0.880 0.880 0.379

---

First-principles (PBE) data for a relaxed structure of TmPa2Re9, as listed in the Alexandria database.

Results
The value obtained for the energy of formation is -0.064 eV per atom.

a = 9.677 Å, b = 9.677 Å, c = 9.677 Å
α = 31.47°, β = 31.47°, γ = 31.47°
Fractional positions:
Tm1 0.000 0.000 0.000
Pa1 0.147 0.147 0.147
Pa2 0.853 0.853 0.853
Re1 0.078 0.584 0.584
Re2 0.335 0.335 0.335
Re3 0.416 0.416 0.922
Re4 0.416 0.922 0.416
Re5 0.500 0.500 0.500
Re6 0.584 0.078 0.584
Re7 0.584 0.584 0.078
Re8 0.665 0.665 0.665
Re9 0.922 0.416 0.416